Below is a relaxed LaW2N2 crystal, with properties calculated at the PBE-GGA level.

Cell and atoms, written as CIF:
```
data_LaW2N2
_cell_length_a 7.103
_cell_length_b 7.103
_cell_length_c 2.895
_cell_angle_alpha 90.00
_cell_angle_beta 90.00
_cell_angle_gamma 90.00
_symmetry_space_group_name_H-M 'P 1'
_symmetry_Int_Tables_number 1
loop_
_symmetry_equiv_pos_as_xyz
'x,y,z'
loop_
_atom_site_label
_atom_site_fract_x
_atom_site_fract_y
_atom_site_fract_z
W1 0.381 0.119 0.500
W2 0.619 0.881 0.500
W3 0.881 0.381 0.500
W4 0.119 0.619 0.500
N1 0.123 0.377 0.000
N2 0.623 0.123 0.000
N3 0.877 0.623 0.000
N4 0.377 0.877 0.000
La1 0.500 0.500 0.000
La2 0.000 0.000 0.000
```

Computed properties:
**Formation energy (no corrections)**: 0.732 eV per atom
**Crystal system**: tetragonal
**Symmetry**: P4/mbm (127)
**Offset from the most stable computed form**: 0.679 eV per atom
**Calculated volume**: 73 Å³/f.u.